# 1
An optimized crystal structure of NaAc2HoSe5, computed with GGA-PBE.

Results
Uncorrected formation energy   -1557 kJ/mol of formula units

Cell lengths 4.3549, 17.8286, 13.1428 Å; angles 90.00, 90.00, 90.00 degrees
Space group Cmc2_1 (No. 36)
One atom of each set of equivalent atoms:
Na (0.0000, 0.0319, 0.0000)
Ac (0.0000, 0.3668, 0.8294)
Ac (0.0000, 0.3970, 0.2142)
Ho (0.0000, 0.2970, 0.5395)
Se (0.0000, 0.0058, 0.3021)
Se (0.0000, 0.1362, 0.5292)
Se (0.0000, 0.1897, 0.8916)
Se (0.0000, 0.2211, 0.1896)
Se (0.0000, 0.4405, 0.6105)

# 2
An optimized crystal structure of Dy2Mg3Pd2, computed with GGA-PBE.

Results
DOS at the Fermi energy   3.69 states/eV/f.u.
ΔH_f (0 K)   -550 meV/atom

Cell lengths 10.3788, 3.9846, 7.6436 Å; angles 90.00, 95.91, 90.00 degrees
Space group C2/m (No. 12)
One atom of each set of equivalent atoms:
Dy (0.1240, 0.0000, 0.3592)
Mg (0.0000, 0.5000, 0.0000)
Mg (0.1876, 0.0000, 0.8639)
Pd (0.0925, 0.5000, 0.6481)

# 3
An optimized crystal structure of Ce2Pr5N5, computed with GGA-PBE.

Results
DOS at the Fermi energy   12.05 states/eV/f.u.
Uncorrected formation energy   -1071 kJ/mol of formula units

Cell lengths 12.2560, 3.5552, 12.4179 Å; angles 90.00, 109.11, 90.00 degrees
Space group C2/m (No. 12)
One atom of each set of equivalent atoms:
Ce (0.0422, 0.0000, 0.2979)
Pr (0.0000, 0.5000, 0.0000)
Pr (0.1539, 0.5000, 0.5646)
Pr (0.2232, 0.5000, 0.8746)
N (0.0000, 0.0000, 0.5000)
N (0.1180, 0.0000, 0.9304)
N (0.1626, 0.5000, 0.3738)

# 4
An optimized crystal structure of Ho4PbSeS2, computed with GGA-PBE.

Results
DOS at the Fermi energy   3.45 states/eV/f.u.
Uncorrected formation energy   -1160 kJ/mol of formula units

Cell lengths 7.1032, 3.9560, 7.1610 Å; angles 90.00, 108.54, 90.00 degrees
Space group P2/m (No. 10)
One atom of each set of equivalent atoms:
Ho (0.2281, 0.0000, 0.2188)
Ho (0.2511, 0.5000, 0.7722)
Pb (0.5000, 0.5000, 0.5000)
Se (0.0000, 0.0000, 0.5000)
S (0.0000, 0.5000, 0.0000)
S (0.5000, 0.0000, 0.0000)

# 5
An optimized crystal structure of Na5In12Ag2, computed with GGA-PBE.

Results
DOS at the Fermi energy   6.25 states/eV/f.u.
ΔH_f (0 K)   -67 meV/atom

Cell lengths 14.5364, 9.8287, 6.9598 Å; angles 90.00, 90.48, 90.00 degrees
Space group C2/m (No. 12)
One atom of each set of equivalent atoms:
Na (0.0000, 0.0000, 0.0000)
Na (0.1829, 0.5000, 0.5205)
Na (0.2322, 0.5000, 0.0298)
In (0.0095, 0.5000, 0.2114)
In (0.1010, 0.0000, 0.5381)
In (0.1352, 0.2422, 0.8050)
In (0.1533, 0.2190, 0.2426)
Ag (0.0000, 0.2816, 0.5000)

# 6
An optimized crystal structure of NaPuHg6, computed with GGA-PBE.

Results
DOS at the Fermi energy   15.73 states/eV/f.u.
ΔH_f (0 K)   -171 meV/atom

Cell lengths 6.6801, 6.6801, 5.2379 Å; angles 90.00, 90.00, 120.00 degrees
Space group P-6m2 (No. 187)
One atom of each set of equivalent atoms:
Na (0.0000, 0.0000, 0.0000)
Pu (0.6667, 0.3333, 0.5000)
Hg (0.0027, 0.5013, 0.0000)
Hg (0.1687, 0.3375, 0.5000)

# 7
An optimized crystal structure of KHgAu, computed with GGA-PBE.

Results
DOS at the Fermi energy   0.13 states/eV/f.u.
ΔH_f (0 K)   -226 meV/atom

Cell lengths 3.9115, 3.9115, 11.5591 Å; angles 90.00, 90.00, 90.00 degrees
Space group I4mm (No. 107)
One atom of each set of equivalent atoms:
K (0.0000, 0.0000, 0.0000)
Hg (0.0000, 0.0000, 0.2992)
Au (0.0000, 0.0000, 0.6886)

# 8
An optimized crystal structure of TlAgPb2, computed with GGA-PBE.

Results
DOS at the Fermi energy   2.00 states/eV/f.u.
ΔH_f (0 K)   153 meV/atom

Cell lengths 8.7709, 8.7709, 6.1844 Å; angles 90.00, 90.00, 90.00 degrees
Space group I-42d (No. 122)
One atom of each set of equivalent atoms:
Tl (0.0000, 0.0000, 0.0000)
Ag (0.0000, 0.0000, 0.5000)
Pb (0.2005, 0.2500, 0.6250)